A relaxed structure of BaInTe2I, computed with PBE.

ΔE_f (raw) (eV per atom): -0.2522
Energy above the most stable polymorph in this dataset (eV/atom): 0.493
Density (g/cm3): 3.57
Size of the total moment (μB/cell): 1.862

Unit cell a=6.6421 b=6.6421 c=6.6880 alpha=90.00 beta=90.00 gamma=90.00
Each line ends with the local moment (μB).
Fractional positions:
1 I 0.0000 0.0000 0.5000  0.07
2 Te 0.0000 0.5000 0.0000  0.44
3 Te 0.5000 0.0000 0.0000  0.44
4 Ba 0.0000 0.0000 0.0000  0.01
5 In 0.5000 0.5000 0.5000  -0.01